Computed, not measured: RbAc2CrO5 after structural relaxation at the GGA+U level of DFT.

Calculated values
Volume = 17.292 Å³/atom
Uncorrected energy = -7.10 eV per atom
SG = P4/mbm

```
RbAc2CrO5
1.0
7.214 0.000 0.000
0.000 7.214 0.000
0.000 0.000 5.981
Rb Ac Cr O
2 4 2 10
Direct
0.000 0.000 0.000
0.500 0.500 0.000
0.182 0.318 0.500
0.318 0.818 0.500
0.682 0.182 0.500
0.818 0.682 0.500
0.000 0.500 0.000
0.500 0.000 0.000
0.000 0.000 0.500
0.128 0.628 0.237
0.128 0.628 0.763
0.372 0.128 0.237
0.372 0.128 0.763
0.500 0.500 0.500
0.628 0.872 0.237
0.628 0.872 0.763
0.872 0.372 0.237
0.872 0.372 0.763
```